Version A
# Mn2NCl GGA-PBE relaxed
data_Mn2NCl
_space_group_name_H-M_alt 'I -4 2 d'
_space_group_IT_number 122
_space_group_name_Hall 'I -4 2bw'
_cell_length_a 5.127
_cell_length_b 5.127
_cell_length_c 9.885
_cell_angle_alpha 90.00
_cell_angle_beta 90.00
_cell_angle_gamma 90.00
loop_
_atom_site_label
_atom_site_fract_x
_atom_site_fract_y
_atom_site_fract_z
Mn1 0.147 0.250 0.125
N1 0.000 0.000 0.000
Cl1 0.000 0.000 0.500
# Mass density in g cm⁻³: 4.07
# M_tot in μB/cell: 31.0



Version B
# Mn2NCl GGA-PBE relaxed
data_Mn2NCl
_space_group_name_H-M_alt 'F m -3 m'
_space_group_IT_number 225
_space_group_name_Hall '-F 4 2 3'
_cell_length_a 5.388
_cell_length_b 5.388
_cell_length_c 5.388
_cell_angle_alpha 90.00
_cell_angle_beta 90.00
_cell_angle_gamma 90.00
loop_
_atom_site_label
_atom_site_fract_x
_atom_site_fract_y
_atom_site_fract_z
Mn1 0.250 0.250 0.250
N1 0.000 0.000 0.000
Cl1 0.000 0.000 0.500
# Mass density in g cm⁻³: 6.77
# M_tot in μB/cell: 0.0



version A wins, 1060 meV/atom ahead of the next structure.